A plane-wave DFT calculation with PBE-GGA was carried out for a geometry-optimized YTmMgRu structure.

The value obtained for the energy above the most stable polymorph in this dataset is 0 meV per atom. As for the magnetic moment: 0.00 μB/cell. Its total energy is -23.054 eV for the cell shown. Its formation energy is -0.3120 eV per atom.

Geometry as CIF:
```
data_YTmMgRu
_chemical_formula_sum 'Y1 Tm1 Mg1 Ru1'
_cell_length_a 3.4339
_cell_length_b 3.4339
_cell_length_c 8.0096
_cell_angle_alpha 90.00
_cell_angle_beta 90.00
_cell_angle_gamma 90.00
_symmetry_space_group_name_H-M 'P 4 m m'
_symmetry_Int_Tables_number 99
loop_
_symmetry_equiv_pos_as_xyz
'x,y,z'
'-y,x,z'
'-x,-y,z'
'y,-x,z'
'-x,y,z'
'y,x,z'
'x,-y,z'
'-y,-x,z'
loop_
_atom_site_label
_atom_site_type_symbol
_atom_site_fract_x
_atom_site_fract_y
_atom_site_fract_z
Y1 Y 0.0000 0.0000 0.0000
Tm1 Tm 0.0000 0.0000 0.5920
Mg1 Mg 0.5000 0.5000 0.2995
Ru1 Ru 0.5000 0.5000 0.7893
```